First-principles (GGA-PBE) data for LaMg2In after structural relaxation, as listed in the Alexandria database.

Output
Calculated formation energy = -212 meV/atom
E = -11.70 eV/f.u.
Total moment = 0.02 μB/atom
V = 27.2 Å³/atom

Structure (POSCAR):
```
LaMg2In
1.0
3.3445 0.0000 0.0000
0.0000 4.9142 0.0000
-1.6626 0.0000 6.6252
La Mg In
1 2 1
Direct
0.0000 0.0000 0.0000
0.2545 0.0000 0.5117
0.6615 0.5000 0.3239
0.3821 0.5000 0.7656
```